Record 1
VASP calculation (PBE-GGA) on crystalline Mg2SnPd2 at its relaxed geometry.

Values from the calculation:
Total energy: -3.831 eV/atom

Cell: 3.9940 3.9940 12.4418 Å, 90.00 90.00 90.00°
Closest atoms and distances in Å follow each position.
Space group I4/mmm (No. 139)
Symmetry-distinct sites (fractional):
Mg (0.0000, 0.5000, 0.2500) (multiplicity 4)  4 Pd 2.67, 4 Mg 2.82
Sn (0.0000, 0.0000, 0.0000) (multiplicity 2)  8 Pd 3.12
Pd (0.0000, 0.0000, 0.3930) (multiplicity 4)  1 Pd 2.66, 4 Mg 2.67

Record 2
VASP calculation (PBE-GGA) on crystalline TmMgNi2Ge2 at its relaxed geometry.

Values from the calculation:
Total energy: -5.058 eV/atom

Cell: 4.1421 4.1421 6.5831 Å, 90.00 90.00 120.00°
Closest atoms and distances in Å follow each position.
Space group P-3m1 (No. 164)
Symmetry-distinct sites (fractional):
Tm (0.0000, 0.0000, 0.0000) (multiplicity 1)  6 Ge 3.00, 6 Ni 3.15, 2 Mg 3.29
Mg (0.0000, 0.0000, 0.5000) (multiplicity 1)  6 Ni 2.69, 6 Ge 2.81
Ni (0.3333, 0.6667, 0.6882) (multiplicity 2)  3 Ge 2.40
Ge (0.3333, 0.6667, 0.2747) (multiplicity 2)  3 Ni 2.40

Record 3
VASP calculation (PBE-GGA) on crystalline CaPmNdGd at its relaxed geometry.

Values from the calculation:
Total energy: -6.279 eV/atom

Cell: 8.2684 8.2684 8.2684 Å, 90.00 90.00 90.00°
Closest atoms and distances in Å follow each position.
Space group F-43m (No. 216)
Symmetry-distinct sites (fractional):
Ca (0.0000, 0.0000, 0.0000) (multiplicity 4)  4 Pm 3.58, 4 Nd 3.58
Pm (0.2500, 0.2500, 0.7500) (multiplicity 4)  4 Gd 3.58, 4 Ca 3.58
Nd (0.2500, 0.2500, 0.2500) (multiplicity 4)  4 Ca 3.58, 4 Gd 3.58
Gd (0.0000, 0.0000, 0.5000) (multiplicity 4)  4 Nd 3.58, 4 Pm 3.58

Record 4
VASP calculation (PBE-GGA) on crystalline PrMgGa at its relaxed geometry.

Values from the calculation:
Total energy: -3.355 eV/atom

Cell: 8.3646 4.8197 8.7292 Å, 90.00 108.47 90.00°
Closest atoms and distances in Å follow each position.
Space group C2/m (No. 12)
Symmetry-distinct sites (fractional):
Pr (0.1191, 0.0000, 0.3545) (multiplicity 4)  3 Ga 2.97
Mg (0.1306, 0.5000, 0.8937) (multiplicity 4)  4 Ga 2.78-2.98
Ga (0.2451, 0.5000, 0.2300) (multiplicity 4)  4 Mg 2.78-2.98, 3 Pr 2.97

Q: What is the total energy in the first record?
A: -3.831 eV/atom

Q: What is the total energy in the fourth record?
A: -3.355 eV/atom

Repeat the second record exactly.
VASP calculation (PBE-GGA) on crystalline TmMgNi2Ge2 at its relaxed geometry.

Values from the calculation:
Total energy: -5.058 eV/atom

Cell: 4.1421 4.1421 6.5831 Å, 90.00 90.00 120.00°
Closest atoms and distances in Å follow each position.
Space group P-3m1 (No. 164)
Symmetry-distinct sites (fractional):
Tm (0.0000, 0.0000, 0.0000) (multiplicity 1)  6 Ge 3.00, 6 Ni 3.15, 2 Mg 3.29
Mg (0.0000, 0.0000, 0.5000) (multiplicity 1)  6 Ni 2.69, 6 Ge 2.81
Ni (0.3333, 0.6667, 0.6882) (multiplicity 2)  3 Ge 2.40
Ge (0.3333, 0.6667, 0.2747) (multiplicity 2)  3 Ni 2.40